(1)
A plane-wave DFT calculation with PBE was carried out for a geometry-optimized Ac5Pr4Mg structure.

## Properties
The formation energy is 7.2 kJ/mol of atoms.

Unit cell a=4.4411 b=4.4411 c=20.0079 alpha=90.00 beta=90.00 gamma=90.00
Closest atoms and distances in Å follow each position.
Fractional positions:
Ac  0.5000  0.5000  0.0939  4 Mg 3.66, 1 Ac 3.76, 4 Pr 3.82
Ac  0.5000  0.5000  0.3016  8 Pr 3.69-3.71, 1 Ac 3.97
Ac  0.5000  0.5000  0.5000  8 Pr 3.74, 2 Ac 3.97
Ac  0.5000  0.5000  0.6984  8 Pr 3.69-3.71, 1 Ac 3.97
Ac  0.5000  0.5000  0.9061  4 Mg 3.66, 1 Ac 3.76, 4 Pr 3.82
Pr  0.0000  0.0000  0.2025  8 Ac 3.71-3.82, 1 Pr 3.93, 1 Mg 4.05
Pr  0.0000  0.0000  0.3987  8 Ac 3.69-3.74, 2 Pr 3.93-4.05
Pr  0.0000  0.0000  0.6013  8 Ac 3.69-3.74, 2 Pr 3.93-4.05
Pr  0.0000  0.0000  0.7975  8 Ac 3.71-3.82, 1 Pr 3.93, 1 Mg 4.05
Mg  0.0000  0.0000  0.0000  8 Ac 3.66, 2 Pr 4.05

***

(2)
A plane-wave DFT calculation with PBE was carried out for a geometry-optimized TePbW2 structure.

## Properties
The formation energy (no corrections) comes out at 21.2 kcal/mol of atoms. The energy above the most stable polymorph in this dataset is 189 kJ/mol of formula units.

Unit cell a=5.2238 b=5.2238 c=6.3141 alpha=68.25 beta=68.25 gamma=37.10
Closest atoms and distances in Å follow each position.
Fractional positions:
Pb  0.7500  0.7500  0.7500  4 W 3.06, 2 Pb 3.32
Te  0.2500  0.2500  0.2500  6 W 2.85-2.95
W  0.0037  0.0037  0.0988  2 W 2.51
W  0.4963  0.4963  0.4012  2 W 2.51

***

(3)
A plane-wave DFT calculation with PBE was carried out for a geometry-optimized Pm2H2SCl structure.

## Properties
The electronic total energy is -30.3 eV per cell.

Unit cell a=3.8887 b=3.8887 c=8.0491 alpha=90.00 beta=90.00 gamma=120.00
Closest atoms and distances in Å follow each position.
Fractional positions:
Pm  0.3333  0.6667  0.2825  3 H 2.27
Pm  0.6667  0.3333  0.7175  3 H 2.27
H  0.3333  0.6667  0.7564  3 Pm 2.27
H  0.6667  0.3333  0.2436  3 Pm 2.27
S  0.0000  0.0000  0.5000  6 Pm 2.85, 6 H 3.05
Cl  0.0000  0.0000  0.0000  6 H 2.98, 6 Pm 3.20

***

(4)
A plane-wave DFT calculation with PBE was carried out for a geometry-optimized Hg5Au structure.

## Properties
The formation energy is 26.2 kJ/mol of atoms. The energy above the most stable polymorph in this dataset is 124 kJ/mol of formula units.

Unit cell a=5.6940 b=5.6940 c=5.8547 alpha=90.00 beta=90.00 gamma=120.00
Closest atoms and distances in Å follow each position.
Fractional positions:
Hg  0.0000  0.5000  0.5000  4 Hg 2.85
Hg  0.3333  0.6667  0.0000  9 Hg 3.29-3.36, 3 Au 3.29
Hg  0.5000  0.0000  0.5000  4 Hg 2.85
Hg  0.5000  0.5000  0.5000  4 Hg 2.85
Hg  0.6667  0.3333  0.0000  9 Hg 3.29-3.36, 3 Au 3.29
Au  0.0000  0.0000  0.0000  6 Hg 3.29

***

(5)
A plane-wave DFT calculation with PBE was carried out for a geometry-optimized NiSn2Pd structure.

## Properties
The formation energy is 2.6 kJ/mol of atoms. The energy above the most stable polymorph in this dataset is 96 kJ/mol of formula units.

Unit cell a=3.1786 b=3.1786 c=9.2600 alpha=80.12 beta=80.12 gamma=60.00
Closest atoms and distances in Å follow each position.
Fractional positions:
Ni  0.5000  0.5000  0.5000  6 Sn 2.66
Sn  0.0959  0.0959  0.7124  1 Pd 2.61, 3 Ni 2.66
Sn  0.9041  0.9041  0.2876  1 Pd 2.61, 3 Ni 2.66
Pd  0.0000  0.0000  0.0000  2 Sn 2.61

***

(6)
A plane-wave DFT calculation with PBE was carried out for a geometry-optimized BaTcHg3 structure.

## Properties
The formation energy is 8.7 kJ/mol of atoms. The energy above the most stable polymorph in this dataset is 0 kJ/mol of formula units.

Unit cell a=5.3201 b=5.3201 c=5.3201 alpha=90.00 beta=90.00 gamma=90.00
Closest atoms and distances in Å follow each position.
Fractional positions:
Tc  0.0000  0.0000  0.0000  6 Hg 2.66
Hg  0.0000  0.5000  0.0000  2 Tc 2.66
Hg  0.0000  0.0000  0.5000  2 Tc 2.66
Hg  0.5000  0.0000  0.0000  2 Tc 2.66
Ba  0.5000  0.5000  0.5000  12 Hg 3.76

***

(7)
A plane-wave DFT calculation with PBE was carried out for a geometry-optimized TiZn4Ir structure.

## Properties
The formation energy is -21.5 kJ/mol of atoms. The energy above the most stable polymorph in this dataset is 0 kJ/mol of formula units.

Unit cell a=4.9317 b=4.9317 c=4.9317 alpha=60.00 beta=60.00 gamma=60.00
Closest atoms and distances in Å follow each position.
Fractional positions:
Zn  0.6250  0.6250  0.1250  6 Zn 2.47
Zn  0.6250  0.1250  0.6250  6 Zn 2.47
Zn  0.6250  0.6250  0.6250  6 Zn 2.47
Zn  0.1250  0.6250  0.6250  6 Zn 2.47
Ir  0.0000  0.0000  0.0000  12 Zn 2.89, 4 Ti 3.02
Ti  0.2500  0.2500  0.2500  12 Zn 2.89, 4 Ir 3.02

***

(8)
A plane-wave DFT calculation with PBE was carried out for a geometry-optimized TmZn8Co2 structure.

## Properties
The formation energy is 22.4 kJ/mol of atoms.

Unit cell a=6.1557 b=6.1557 c=5.2053 alpha=90.00 beta=90.00 gamma=90.00
Closest atoms and distances in Å follow each position.
Fractional positions:
Tm  0.5000  0.5000  0.5000  8 Zn 2.84
Zn  0.7876  0.7876  0.2424  4 Zn 2.52-2.68, 2 Co 2.54
Zn  0.7876  0.2124  0.7576  4 Zn 2.52-2.68, 2 Co 2.54
Zn  0.7876  0.7876  0.7576  4 Zn 2.52-2.68, 2 Co 2.54
Zn  0.7876  0.2124  0.2424  4 Zn 2.52-2.68, 2 Co 2.54
Zn  0.2124  0.7876  0.2424  4 Zn 2.52-2.68, 2 Co 2.54
Zn  0.2124  0.7876  0.7576  4 Zn 2.52-2.68, 2 Co 2.54
Zn  0.2124  0.2124  0.2424  4 Zn 2.52-2.68, 2 Co 2.54
Zn  0.2124  0.2124  0.7576  4 Zn 2.52-2.68, 2 Co 2.54
Co  0.5000  0.0000  0.0000  8 Zn 2.54
Co  0.0000  0.5000  0.0000  8 Zn 2.54

***

(9)
A plane-wave DFT calculation with PBE was carried out for a geometry-optimized MgPt4 structure.

## Properties
The formation energy is -41.0 kJ/mol of atoms. The energy above the most stable polymorph in this dataset is 0 kJ/mol of formula units.

Unit cell a=6.2590 b=6.2590 c=4.8594 alpha=49.91 beta=49.91 gamma=90.00
Closest atoms and distances in Å follow each position.
Fractional positions:
Mg  0.0000  0.0000  0.0000  12 Pt 2.78-2.83
Pt  0.8015  0.6031  0.0000  3 Mg 2.78-2.83, 9 Pt 2.80-2.82
Pt  0.6031  0.1985  0.0000  3 Mg 2.78-2.83, 9 Pt 2.80-2.82
Pt  0.1985  0.3969  0.0000  3 Mg 2.78-2.83, 9 Pt 2.80-2.82
Pt  0.3969  0.8015  0.0000  3 Mg 2.78-2.83, 9 Pt 2.80-2.82

***

(10)
A plane-wave DFT calculation with PBE was carried out for a geometry-optimized La2TmTl structure.

## Properties
The formation energy is -16.8 kJ/mol of atoms. The energy above the most stable polymorph in this dataset is 10 kJ/mol of formula units.

Unit cell a=5.3558 b=7.1331 c=6.9059 alpha=103.77 beta=90.00 gamma=90.00
Closest atoms and distances in Å follow each position.
Fractional positions:
La  0.2500  0.4203  0.1584  6 La 3.52-3.84, 4 Tm 3.52-3.68, 3 Tl 3.53-3.63
La  0.7500  0.5797  0.8416  6 La 3.52-3.84, 4 Tm 3.52-3.68, 3 Tl 3.53-3.63
La  0.7500  0.0900  0.8569  4 Tl 3.46-3.67, 6 La 3.52-3.84, 3 Tm 3.58-3.63
La  0.2500  0.9100  0.1431  4 Tl 3.46-3.67, 6 La 3.52-3.84, 3 Tm 3.58-3.63
Tm  0.2500  0.2737  0.6109  2 Tl 3.12
Tm  0.7500  0.7263  0.3891  2 Tl 3.12
Tl  0.7500  0.2179  0.3723  2 Tm 3.12, 1 La 3.46
Tl  0.2500  0.7821  0.6277  2 Tm 3.12, 1 La 3.46

***

(11)
A plane-wave DFT calculation with PBE was carried out for a geometry-optimized Dy3Er6TmSc2 structure.

## Properties
The formation energy is 3.6 kJ/mol of atoms.

Unit cell a=6.0222 b=6.0222 c=11.4940 alpha=95.01 beta=95.01 gamma=119.95
Closest atoms and distances in Å follow each position.
Fractional positions:
Dy  0.1668  0.8332  0.5000  6 Dy 3.47-3.48, 6 Er 3.52-3.53
Dy  0.8332  0.1668  0.5000  6 Dy 3.47-3.48, 6 Er 3.52-3.53
Dy  0.5000  0.5000  0.5000  6 Dy 3.47-3.48, 6 Er 3.52-3.53
Er  0.9184  0.5830  0.7561  2 Sc 3.41, 1 Tm 3.42, 6 Er 3.47-3.50, 3 Dy 3.52-3.53
Er  0.7461  0.7461  0.2438  2 Sc 3.41, 1 Tm 3.42, 6 Er 3.47-3.50, 3 Dy 3.52-3.53
Er  0.0816  0.4170  0.2439  2 Sc 3.41, 1 Tm 3.42, 6 Er 3.47-3.50, 3 Dy 3.52-3.53
Er  0.5830  0.9184  0.7561  2 Sc 3.41, 1 Tm 3.42, 6 Er 3.47-3.50, 3 Dy 3.52-3.53
Er  0.2539  0.2539  0.7562  2 Sc 3.41, 1 Tm 3.42, 6 Er 3.47-3.50, 3 Dy 3.52-3.53
Er  0.4170  0.0816  0.2439  2 Sc 3.41, 1 Tm 3.42, 6 Er 3.47-3.50, 3 Dy 3.52-3.53
Tm  0.0000  0.0000  0.0000  6 Er 3.42, 6 Sc 3.48
Sc  0.3333  0.6667  0.0000  6 Er 3.41, 3 Tm 3.48, 3 Sc 3.48
Sc  0.6667  0.3333  0.0000  6 Er 3.41, 3 Tm 3.48, 3 Sc 3.48

***

(12)
A plane-wave DFT calculation with PBE was carried out for a geometry-optimized FeHgBr structure.

## Properties
The formation energy (no corrections) comes out at 11.1 kcal/mol of atoms. The energy above the most stable polymorph in this dataset is 98 kJ/mol of formula units.

Unit cell a=4.6652 b=4.6652 c=4.6652 alpha=60.00 beta=60.00 gamma=60.00
Closest atoms and distances in Å follow each position.
Fractional positions:
Br  0.5000  0.5000  0.5000  4 Fe 2.86
Fe  0.7500  0.7500  0.7500  4 Br 2.86, 4 Hg 2.86
Hg  0.0000  0.0000  0.0000  4 Fe 2.86

***

(13)
A plane-wave DFT calculation with PBE was carried out for a geometry-optimized Tm2AlIn structure.

## Properties
The formation energy is -39.0 kJ/mol of atoms.

Unit cell a=3.4347 b=3.4347 c=8.1490 alpha=90.00 beta=90.00 gamma=90.00
Closest atoms and distances in Å follow each position.
Fractional positions:
Tm  0.0000  0.0000  0.7641  4 Al 3.10, 4 In 3.24, 4 Tm 3.43
Tm  0.0000  0.0000  0.2359  4 Al 3.10, 4 In 3.24, 4 Tm 3.43
Al  0.5000  0.5000  0.0000  8 Tm 3.10, 4 Al 3.43
In  0.5000  0.5000  0.5000  8 Tm 3.24, 4 In 3.43

***

(14)
A plane-wave DFT calculation with PBE was carried out for a geometry-optimized NaPuAl4 structure.

## Properties
The formation energy is -8.2 kJ/mol of atoms.

Unit cell a=5.5785 b=5.5785 c=5.5785 alpha=60.00 beta=60.00 gamma=60.00
Closest atoms and distances in Å follow each position.
Fractional positions:
Na  0.2500  0.2500  0.2500  12 Al 3.27, 4 Pu 3.42
Al  0.6259  0.6259  0.1222  6 Al 2.77-2.81
Al  0.6259  0.1222  0.6259  6 Al 2.77-2.81
Al  0.6259  0.6259  0.6259  6 Al 2.77-2.81
Al  0.1222  0.6259  0.6259  6 Al 2.77-2.81
Pu  0.0000  0.0000  0.0000  12 Al 3.27, 4 Na 3.42

***

(15)
A plane-wave DFT calculation with PBE was carried out for a geometry-optimized K3Sm3ZrSe8 structure.

## Properties
The formation energy (no corrections) comes out at -38.5 kcal/mol of atoms.

Unit cell a=8.3891 b=8.3889 c=9.2168 alpha=117.08 beta=90.00 gamma=120.00
Closest atoms and distances in Å follow each position.
Fractional positions:
K  0.0000  0.0000  0.0000  6 Se 3.32-3.34
K  0.0000  0.5000  0.0000  6 Se 3.33-3.34
K  0.5000  0.5000  0.0000  6 Se 3.33-3.34
Sm  0.5000  0.0000  0.5000  6 Se 2.93-2.94
Sm  0.5000  0.5000  0.5000  6 Se 2.93-2.94
Sm  0.0000  0.5000  0.5000  6 Se 2.93-2.94
Zr  0.0000  0.0000  0.5000  6 Se 2.76
Se  0.2635  0.5270  0.2906  3 Sm 2.93
Se  0.7365  0.4730  0.7094  3 Sm 2.93
Se  0.7771  0.5543  0.3015  1 Zr 2.76, 2 Sm 2.94
Se  0.2229  0.4457  0.6985  1 Zr 2.76, 2 Sm 2.94
Se  0.7772  0.0242  0.3015  1 Zr 2.76, 2 Sm 2.94
Se  0.2228  0.9758  0.6985  1 Zr 2.76, 2 Sm 2.94
Se  0.2471  0.0242  0.3015  1 Zr 2.76, 2 Sm 2.94
Se  0.7529  0.9758  0.6985  1 Zr 2.76, 2 Sm 2.94

***

(16)
A plane-wave DFT calculation with PBE was carried out for a geometry-optimized Ti2HgMoH structure.

## Properties
The electronic total energy is -30.9 eV per cell.

Unit cell a=4.3065 b=4.3065 c=3.7713 alpha=90.00 beta=90.00 gamma=90.00
Closest atoms and distances in Å follow each position.
Fractional positions:
H  0.0000  0.0000  0.0000  2 Mo 1.89
Mo  0.0000  0.0000  0.5000  2 H 1.89
Hg  0.5000  0.5000  0.5000  8 Ti 2.86, 4 Mo 3.05
Ti  0.0000  0.5000  0.0000  2 H 2.15
Ti  0.5000  0.0000  0.0000  2 H 2.15

***

(17)
A plane-wave DFT calculation with PBE was carried out for a geometry-optimized HfScW2 structure.

## Properties
The formation energy is 91.2 kJ/mol of atoms. The energy above the most stable polymorph in this dataset is 217 kJ/mol of formula units.

Unit cell a=7.5137 b=7.5137 c=5.9937 alpha=51.19 beta=51.19 gamma=90.00
Closest atoms and distances in Å follow each position.
Fractional positions:
Sc  0.5000  0.5000  0.0000  4 W 2.74, 2 Hf 2.77
Sc  0.2500  0.7500  0.5000  4 W 2.74, 2 Hf 2.77
Hf  0.0000  0.0000  0.0000  4 W 2.75, 2 Sc 2.77
Hf  0.7500  0.2500  0.5000  4 W 2.75, 2 Sc 2.77
W  0.6243  0.1250  0.2500  2 Sc 2.74, 2 Hf 2.75, 2 W 2.77
W  0.1257  0.6250  0.2500  2 Sc 2.74, 2 Hf 2.75, 2 W 2.77
W  0.3750  0.3757  0.7500  2 Sc 2.74, 2 Hf 2.75, 2 W 2.77
W  0.8750  0.8743  0.7500  2 Sc 2.74, 2 Hf 2.75, 2 W 2.77

***

(18)
A plane-wave DFT calculation with PBE was carried out for a geometry-optimized LiZrTc3 structure.

## Properties
The formation energy is 79.1 kJ/mol of atoms. The energy above the most stable polymorph in this dataset is 0 kJ/mol of formula units.

Unit cell a=4.2517 b=4.2517 c=4.2517 alpha=90.00 beta=90.00 gamma=90.00
Closest atoms and distances in Å follow each position.
Fractional positions:
Tc  0.0000  0.5000  0.0000  2 Li 2.13
Tc  0.0000  0.0000  0.5000  2 Li 2.13
Tc  0.5000  0.0000  0.0000  2 Li 2.13
Zr  0.5000  0.5000  0.5000  12 Tc 3.01
Li  0.0000  0.0000  0.0000  6 Tc 2.13

***

(19)
A plane-wave DFT calculation with PBE was carried out for a geometry-optimized In2FeNi structure.

## Properties
The formation energy is 15.8 kJ/mol of atoms.

Unit cell a=3.0443 b=3.0447 c=7.6227 alpha=90.00 beta=90.00 gamma=90.00
Closest atoms and distances in Å follow each position.
Fractional positions:
Fe  0.5000  0.5000  0.7024  4 Ni 2.48
In  0.0000  0.0000  0.9445  4 Fe 2.84, 4 In 3.04, 1 Ni 3.07
In  0.5000  0.5000  0.3112  4 Ni 2.78, 1 Fe 2.98, 4 In 3.04
Ni  0.0000  0.0000  0.5420  4 Fe 2.48

***

(20)
A plane-wave DFT calculation with PBE was carried out for a geometry-optimized Ta2Br structure.

## Properties
The formation energy (no corrections) comes out at 13.3 kcal/mol of atoms. The energy above the most stable polymorph in this dataset is 160 kJ/mol of formula units.

Unit cell a=4.7011 b=6.0619 c=8.6497 alpha=90.00 beta=90.00 gamma=90.00
Closest atoms and distances in Å follow each position.
Fractional positions:
Br  0.2500  0.5524  0.3680  4 Ta 2.58-2.86
Br  0.7500  0.9476  0.8680  4 Ta 2.58-2.86
Br  0.2500  0.0524  0.1320  4 Ta 2.58-2.86
Br  0.7500  0.4476  0.6320  4 Ta 2.58-2.86
Ta  0.2500  0.9888  0.7473  2 Br 2.58, 1 Ta 2.66
Ta  0.7500  0.5112  0.2473  2 Br 2.58, 1 Ta 2.66
Ta  0.2500  0.4888  0.7527  2 Br 2.58, 1 Ta 2.66
Ta  0.7500  0.0112  0.2527  2 Br 2.58, 1 Ta 2.66
Ta  0.2500  0.1365  0.4576  2 Br 2.64-2.86, 1 Ta 2.66
Ta  0.7500  0.3635  0.9576  2 Br 2.64-2.86, 1 Ta 2.66
Ta  0.2500  0.6365  0.0424  2 Br 2.64-2.86, 1 Ta 2.66
Ta  0.7500  0.8635  0.5424  2 Br 2.64-2.86, 1 Ta 2.66

***

For the records above, the corresponding magnetization values read 0.00; 0.00; 0.00; 0.00; 0.00; 0.00; 1.03; 1.33; 0.00; 0.00; 0.00; 3.17; 0.00; 6.07; 0.00; 0.00; 0.00; 0.00; 3.17; 0.00 μB per formula unit.
For the records above, the corresponding volume values read 39.5; 23.9; 17.6; 27.4; 19.9; 30.1; 14.1; 17.9; 15.7; 32.0; 29.6; 23.9; 24.0; 20.5; 31.9; 14.0; 19.6; 15.4; 17.7; 20.5 A^3/atom.